Entry one
## Dy2Mg3Au4 (GGA-PBE)

Data for crystalline Dy2Mg3Au4 at its relaxed geometry.

Total moment in μB/f.u.: 0.0
V in Å³ per cell: 383.75
DOS(E_F) in states/eV per cell: 9.91

Cell and atoms, written as CIF:
```
data_Dy2Mg3Au4
_chemical_formula_sum 'Dy4 Mg6 Au8'
_cell_length_a 8.227
_cell_length_b 4.721
_cell_length_c 9.882
_cell_angle_alpha 90.00
_cell_angle_beta 90.39
_cell_angle_gamma 90.00
_space_group_name_H-M_alt 'C 1 2/m 1'
_space_group_IT_number 12
loop_
_space_group_symop_operation_xyz
'x,y,z'
'-x,-y,-z'
'-x,y,-z'
'x,-y,z'
'x+1/2,y+1/2,z'
'-x+1/2,-y+1/2,-z'
'-x+1/2,y+1/2,-z'
'x+1/2,-y+1/2,z'
loop_
_atom_site_label
_atom_site_fract_x
_atom_site_fract_y
_atom_site_fract_z
Dy1 0.168 0.000 0.218
Mg1 0.000 0.500 0.000
Mg2 0.165 0.000 0.577
Au1 0.003 0.500 0.356
Au2 0.166 0.000 0.916
```

***

Entry two
## Dy2Mg3Au4 (GGA-PBE)

Data for crystalline Dy2Mg3Au4 at its relaxed geometry.

Total moment in μB/f.u.: 0.0
V in Å³ per cell: 767.68
DOS(E_F) in states/eV per cell: 20.41

Cell and atoms, written as CIF:
```
data_Dy2Mg3Au4
_chemical_formula_sum 'Dy8 Mg12 Au16'
_cell_length_a 6.027
_cell_length_b 16.228
_cell_length_c 7.849
_cell_angle_alpha 90.00
_cell_angle_beta 90.00
_cell_angle_gamma 90.00
_space_group_name_H-M_alt 'C m c e'
_space_group_IT_number 64
_space_group_name_Hall '-C 2ac 2'
loop_
_atom_site_label
_atom_site_fract_x
_atom_site_fract_y
_atom_site_fract_z
Dy1 0.000 0.103 0.095
Mg1 0.000 0.000 0.500
Mg2 0.250 0.224 0.750
Au1 0.000 0.174 0.457
Au2 0.250 0.055 0.750
```

***

Energy relative to the most stable one, in kJ/mol of atoms: entry one 0.0; entry two 2.2

***

Entry one
## DyMgAu4 (GGA-PBE)

Data for crystalline DyMgAu4 at its relaxed geometry.

Total moment in μB/f.u.: 0.0
V in Å³ per cell: 138.58
DOS(E_F) in states/eV per cell: 1.48

Cell and atoms, written as CIF:
```
data_DyMgAu4
_chemical_formula_sum 'Dy1 Mg1 Au4'
_cell_length_a 4.407
_cell_length_b 4.409
_cell_length_c 7.132
_cell_angle_alpha 89.97
_cell_angle_beta 89.95
_cell_angle_gamma 89.97
_space_group_name_H-M_alt 'P 1'
_space_group_IT_number 1
loop_
_space_group_symop_operation_xyz
'x,y,z'
loop_
_atom_site_label
_atom_site_fract_x
_atom_site_fract_y
_atom_site_fract_z
Dy1 0.000 0.000 0.000
Mg1 0.497 0.501 0.500
Au1 0.499 0.001 0.275
Au2 0.500 0.001 0.725
Au3 0.997 0.500 0.725
Au4 0.998 0.500 0.275
```

***

Entry two
## DyMgAu4 (GGA-PBE)

Data for crystalline DyMgAu4 at its relaxed geometry.

Total moment in μB/f.u.: 0.0
V in Å³ per cell: 237.60
DOS(E_F) in states/eV per cell: 4.71

Cell and atoms, written as CIF:
```
data_DyMgAu4
_chemical_formula_sum 'Dy2 Mg2 Au8'
_cell_length_a 9.621
_cell_length_b 3.680
_cell_length_c 7.192
_cell_angle_alpha 90.00
_cell_angle_beta 111.08
_cell_angle_gamma 90.00
_space_group_name_H-M_alt 'C 1 2/m 1'
_space_group_IT_number 12
loop_
_space_group_symop_operation_xyz
'x,y,z'
'-x,-y,-z'
'-x,y,-z'
'x,-y,z'
'x+1/2,y+1/2,z'
'-x+1/2,-y+1/2,-z'
'-x+1/2,y+1/2,-z'
'x+1/2,-y+1/2,z'
loop_
_atom_site_label
_atom_site_fract_x
_atom_site_fract_y
_atom_site_fract_z
Dy1 0.000 0.000 0.000
Mg1 0.000 0.000 0.500
Au1 0.162 0.500 0.342
Au2 0.164 0.500 0.816
```

***

Entry three
## DyMgAu4 (GGA-PBE)

Data for crystalline DyMgAu4 at its relaxed geometry.

Total moment in μB/f.u.: 0.0
V in Å³ per cell: 490.53
DOS(E_F) in states/eV per cell: 25.49

Cell and atoms, written as CIF:
```
data_DyMgAu4
_chemical_formula_sum 'Dy4 Mg4 Au16'
_cell_length_a 7.887
_cell_length_b 7.887
_cell_length_c 7.887
_cell_angle_alpha 90.00
_cell_angle_beta 90.00
_cell_angle_gamma 90.00
_space_group_name_H-M_alt 'F -4 3 m'
_space_group_IT_number 216
_space_group_name_Hall 'F -4 2 3'
loop_
_atom_site_label
_atom_site_fract_x
_atom_site_fract_y
_atom_site_fract_z
Dy1 0.000 0.000 0.000
Mg1 0.250 0.250 0.750
Au1 0.125 0.125 0.375
```

***

Energy relative to the most stable one, in kJ/mol of atoms: entry one 19.9; entry two 0.0; entry three 16.6

***

Entry one
## Dy2MgAu3 (GGA-PBE)

Data for crystalline Dy2MgAu3 at its relaxed geometry.

Total moment in μB/f.u.: 0.0
V in Å³ per cell: 261.24
DOS(E_F) in states/eV per cell: 5.09

Cell and atoms, written as CIF:
```
data_Dy2MgAu3
_chemical_formula_sum 'Dy4 Mg2 Au6'
_cell_length_a 4.9872
_cell_length_b 4.9872
_cell_length_c 12.1280
_cell_angle_alpha 90.00
_cell_angle_beta 90.00
_cell_angle_gamma 120.00
_space_group_name_H-M_alt 'P -3 m 1'
_space_group_IT_number 164
_space_group_name_Hall '-P 3 2"'
loop_
_atom_site_label
_atom_site_fract_x
_atom_site_fract_y
_atom_site_fract_z
Dy1 0.0000 0.0000 0.0000
Dy2 0.0000 0.0000 0.5000
Dy3 0.3333 0.6667 0.1801
Mg1 0.3333 0.6667 0.6648
Au1 0.0000 0.0000 0.2511
Au2 0.3333 0.6667 0.4254
Au3 0.3333 0.6667 0.9201
```

***

Entry two
## Dy2MgAu3 (GGA-PBE)

Data for crystalline Dy2MgAu3 at its relaxed geometry.

Total moment in μB/f.u.: 0.0
V in Å³ per cell: 130.39
DOS(E_F) in states/eV per cell: 2.91

Cell and atoms, written as CIF:
```
data_Dy2MgAu3
_chemical_formula_sum 'Dy2 Mg1 Au3'
_cell_length_a 3.522
_cell_length_b 3.522
_cell_length_c 10.512
_cell_angle_alpha 90.00
_cell_angle_beta 90.00
_cell_angle_gamma 90.00
_space_group_name_H-M_alt 'P 4/m m m'
_space_group_IT_number 123
_space_group_name_Hall '-P 4 2'
loop_
_atom_site_label
_atom_site_fract_x
_atom_site_fract_y
_atom_site_fract_z
Dy1 0.000 0.000 0.177
Mg1 0.000 0.000 0.500
Au1 0.500 0.500 0.000
Au2 0.500 0.500 0.346
```

***

Energy relative to the most stable one, in kJ/mol of atoms: entry one 0.0; entry two 3.0

***

Entry one
## NdDyMgAu (GGA-PBE)

Data for crystalline NdDyMgAu at its relaxed geometry.

Total moment in μB/f.u.: 0.0
V in Å³ per cell: 104.33
DOS(E_F) in states/eV per cell: 3.65

Cell and atoms, written as CIF:
```
data_NdDyMgAu
_chemical_formula_sum 'Nd1 Dy1 Mg1 Au1'
_cell_length_a 3.750
_cell_length_b 3.750
_cell_length_c 7.421
_cell_angle_alpha 90.00
_cell_angle_beta 90.00
_cell_angle_gamma 90.00
_space_group_name_H-M_alt 'P 4 m m'
_space_group_IT_number 99
loop_
_space_group_symop_operation_xyz
'x,y,z'
'-y,x,z'
'-x,-y,z'
'y,-x,z'
'-x,y,z'
'y,x,z'
'x,-y,z'
'-y,-x,z'
loop_
_atom_site_label
_atom_site_fract_x
_atom_site_fract_y
_atom_site_fract_z
Nd1 0.000 0.000 0.000
Dy1 0.000 0.000 0.471
Mg1 0.500 0.500 0.726
Au1 0.500 0.500 0.262
```

***

Entry two
## NdDyMgAu (GGA-PBE)

Data for crystalline NdDyMgAu at its relaxed geometry.

Total moment in μB/f.u.: 0.0
V in Å³ per cell: 415.99
DOS(E_F) in states/eV per cell: 11.83

Cell and atoms, written as CIF:
```
data_NdDyMgAu
_chemical_formula_sum 'Nd4 Dy4 Mg4 Au4'
_cell_length_a 7.465
_cell_length_b 7.465
_cell_length_c 7.465
_cell_angle_alpha 90.00
_cell_angle_beta 90.00
_cell_angle_gamma 90.00
_space_group_name_H-M_alt 'F -4 3 m'
_space_group_IT_number 216
_space_group_name_Hall 'F -4 2 3'
loop_
_atom_site_label
_atom_site_fract_x
_atom_site_fract_y
_atom_site_fract_z
Nd1 0.000 0.000 0.000
Dy1 0.000 0.000 0.500
Mg1 0.250 0.250 0.250
Au1 0.250 0.250 0.750
```

***

Energy relative to the most stable one, in kJ/mol of atoms: entry one 0.0; entry two 6.9

***

Entry one
## PrDyMgAu (GGA-PBE)

Data for crystalline PrDyMgAu at its relaxed geometry.

Total moment in μB/f.u.: 0.0
V in Å³ per cell: 421.01
DOS(E_F) in states/eV per cell: 13.22

Cell and atoms, written as CIF:
```
data_PrDyMgAu
_chemical_formula_sum 'Pr4 Dy4 Mg4 Au4'
_cell_length_a 7.495
_cell_length_b 7.495
_cell_length_c 7.495
_cell_angle_alpha 90.00
_cell_angle_beta 90.00
_cell_angle_gamma 90.00
_space_group_name_H-M_alt 'F -4 3 m'
_space_group_IT_number 216
_space_group_name_Hall 'F -4 2 3'
loop_
_atom_site_label
_atom_site_fract_x
_atom_site_fract_y
_atom_site_fract_z
Pr1 0.000 0.000 0.000
Dy1 0.000 0.000 0.500
Mg1 0.250 0.250 0.750
Au1 0.250 0.250 0.250
```

***

Entry two
## PrDyMgAu (GGA-PBE)

Data for crystalline PrDyMgAu at its relaxed geometry.

Total moment in μB/f.u.: 0.0
V in Å³ per cell: 105.52
DOS(E_F) in states/eV per cell: 3.75

Cell and atoms, written as CIF:
```
data_PrDyMgAu
_chemical_formula_sum 'Pr1 Dy1 Mg1 Au1'
_cell_length_a 3.760
_cell_length_b 3.760
_cell_length_c 7.464
_cell_angle_alpha 90.00
_cell_angle_beta 90.00
_cell_angle_gamma 90.00
_space_group_name_H-M_alt 'P 4 m m'
_space_group_IT_number 99
loop_
_space_group_symop_operation_xyz
'x,y,z'
'-y,x,z'
'-x,-y,z'
'y,-x,z'
'-x,y,z'
'y,x,z'
'x,-y,z'
'-y,-x,z'
loop_
_atom_site_label
_atom_site_fract_x
_atom_site_fract_y
_atom_site_fract_z
Pr1 0.000 0.000 0.000
Dy1 0.000 0.000 0.470
Mg1 0.500 0.500 0.724
Au1 0.500 0.500 0.268
```

***

Energy relative to the most stable one, in kJ/mol of atoms: entry one 7.3; entry two 0.0

***

Entry one
## TbDyMgAu (GGA-PBE)

Data for crystalline TbDyMgAu at its relaxed geometry.

Total moment in μB/f.u.: 0.0
V in Å³ per cell: 398.55
DOS(E_F) in states/eV per cell: 10.40

Cell and atoms, written as CIF:
```
data_TbDyMgAu
_chemical_formula_sum 'Tb4 Dy4 Mg4 Au4'
_cell_length_a 7.359
_cell_length_b 7.359
_cell_length_c 7.359
_cell_angle_alpha 90.00
_cell_angle_beta 90.00
_cell_angle_gamma 90.00
_space_group_name_H-M_alt 'F -4 3 m'
_space_group_IT_number 216
_space_group_name_Hall 'F -4 2 3'
loop_
_atom_site_label
_atom_site_fract_x
_atom_site_fract_y
_atom_site_fract_z
Tb1 0.000 0.000 0.000
Dy1 0.000 0.000 0.500
Mg1 0.250 0.250 0.750
Au1 0.250 0.250 0.250
```

***

Entry two
## TbDyMgAu (GGA-PBE)

Data for crystalline TbDyMgAu at its relaxed geometry.

Total moment in μB/f.u.: 0.0
V in Å³ per cell: 100.14
DOS(E_F) in states/eV per cell: 3.39

Cell and atoms, written as CIF:
```
data_TbDyMgAu
_chemical_formula_sum 'Tb1 Dy1 Mg1 Au1'
_cell_length_a 3.706
_cell_length_b 3.706
_cell_length_c 7.290
_cell_angle_alpha 90.00
_cell_angle_beta 90.00
_cell_angle_gamma 90.00
_space_group_name_H-M_alt 'P 4 m m'
_space_group_IT_number 99
loop_
_space_group_symop_operation_xyz
'x,y,z'
'-y,x,z'
'-x,-y,z'
'y,-x,z'
'-x,y,z'
'y,x,z'
'x,-y,z'
'-y,-x,z'
loop_
_atom_site_label
_atom_site_fract_x
_atom_site_fract_y
_atom_site_fract_z
Tb1 0.000 0.000 0.000
Dy1 0.000 0.000 0.470
Mg1 0.500 0.500 0.734
Au1 0.500 0.500 0.239
```

***

Energy relative to the most stable one, in kJ/mol of atoms: entry one 5.8; entry two 0.0